i:
Mg2Sn2Pb SCAN single point on PBEsol structure; spin magnetization = 0.0 μB/cell; N(E_F) = 1.323 states/eV/f.u.; calculated density = 6.11 g cm⁻³
1.0
4.703 0.000 0.000
0.000 4.703 0.000
-2.351 -2.351 6.057
Pb Mg Sn
1 2 2
direct
0.000 0.000 0.000 Pb
0.250 0.750 0.500 Mg
0.750 0.250 0.500 Mg
0.614 0.614 0.227 Sn
0.386 0.386 0.773 Sn



ii:
Mg2Sn2Pb SCAN single point on PBEsol structure; spin magnetization = 0.0 μB/cell; N(E_F) = 1.655 states/eV/f.u.; calculated density = 6.50 g cm⁻³
1.0
-1.676 -2.531 -1.268
1.954 -4.821 7.041
-7.276 2.833 3.959
Sn Mg Pb
4 4 2
direct
0.000 0.338 0.838 Sn
0.000 0.662 0.162 Sn
0.000 0.838 0.662 Sn
0.000 0.162 0.338 Sn
0.500 0.866 0.366 Mg
0.500 0.134 0.634 Mg
0.500 0.634 0.866 Mg
0.500 0.366 0.134 Mg
0.000 0.500 0.500 Pb
0.000 0.000 0.000 Pb



Question: which arrangement is favored energetically? Ranking from most to least stable: ii, i.



i:
Mg2TePb SCAN single point on PBEsol structure; spin magnetization = 0.0 μB/cell; N(E_F) = 0.903 states/eV/f.u.; calculated density = 6.00 g cm⁻³
1.0
-0.614 2.533 -2.952
0.607 -1.131 -3.723
-7.520 -1.933 -2.721
Te Mg Pb
1 2 1
direct
0.500 0.500 0.500 Te
0.241 0.241 0.276 Mg
0.759 0.759 0.724 Mg
0.000 0.000 0.000 Pb



ii:
Mg2TePb SCAN single point on PBEsol structure; spin magnetization = 0.0 μB/cell; N(E_F) = 1.568 states/eV/f.u.; calculated density = 6.32 g cm⁻³
1.0
3.813 0.000 0.000
0.000 5.198 0.004
0.000 -1.088 5.083
Pb Te Mg
1 1 2
direct
0.500 0.000 0.000 Pb
0.500 0.500 0.500 Te
0.000 0.000 0.500 Mg
0.000 0.500 0.000 Mg



Question: which arrangement is favored energetically? Ranking from most to least stable: i, ii.